No. 1
## Mn2In3Cl7 (PBE-GGA)

Data for a geometry-optimized Mn2In3Cl7 structure.

The crystal system is tetragonal. The uncorrected formation energy is -11.1 eV/f.u.

It has space group I4/mmm (No. 139), with a = 5.058 Å, b = 5.058 Å, c = 25.817 Å, α = 90.00°, β = 90.00° and γ = 90.00°. The distinct sites, in fractional coordinates, are Mn at (0.000, 0.000, 0.100), In at (0.000, 0.000, 0.318), In at (0.000, 0.000, 0.500), Cl at (0.000, 0.000, 0.000), Cl at (0.000, 0.000, 0.195) and Cl at (0.000, 0.500, 0.096).

***

No. 2
## MnInCl2 (PBE-GGA)

Data for a geometry-optimized MnInCl2 structure.

The crystal system is tetragonal. The uncorrected formation energy is -1.7 eV/f.u. Its energy above the most stable polymorph in this dataset is 0.89 eV per formula unit.

It has space group P4mm (No. 99), with a = 3.321 Å, b = 3.321 Å, c = 8.346 Å, α = 90.00°, β = 90.00° and γ = 90.00°. The distinct sites, in fractional coordinates, are Mn at (0.000, 0.000, 0.000), In at (0.500, 0.500, 0.748), Cl at (0.000, 0.000, 0.540) and Cl at (0.500, 0.500, 0.147).

***

No. 3
## MnInCl2 (PBE-GGA)

Data for a geometry-optimized MnInCl2 structure.

The crystal system is monoclinic. The uncorrected formation energy is -0.9 eV/f.u. Its energy above the most stable polymorph in this dataset is 1.64 eV per formula unit.

It has space group C2/m (No. 12), with a = 7.940 Å, b = 7.978 Å, c = 3.261 Å, α = 90.00°, β = 90.90° and γ = 90.00°. The distinct sites, in fractional coordinates, are Mn at (0.000, 0.000, 0.000), In at (0.000, 0.500, 0.000) and Cl at (0.250, 0.250, 0.000).

***

No. 4
## MnInCl2 (PBE-GGA)

Data for a geometry-optimized MnInCl2 structure.

The crystal system is tetragonal. The uncorrected formation energy is -0.7 eV/f.u. Its energy above the most stable polymorph in this dataset is 1.93 eV per formula unit.

It has space group I-4m2 (No. 119), with a = 4.093 Å, b = 4.093 Å, c = 11.868 Å, α = 90.00°, β = 90.00° and γ = 90.00°. The distinct sites, in fractional coordinates, are Mn at (0.000, 0.000, 0.000), In at (0.000, 0.500, 0.250), Cl at (0.000, 0.000, 0.500) and Cl at (0.000, 0.500, 0.750).

***

No. 5
## MnIn2Cl4 (PBE-GGA)

Data for a geometry-optimized MnIn2Cl4 structure.

The crystal system is tetragonal. The uncorrected formation energy is -6.4 eV/f.u. Its energy above the most stable polymorph in this dataset is 0.16 eV per formula unit.

It has space group I4/mmm (No. 139), with a = 5.051 Å, b = 5.051 Å, c = 15.791 Å, α = 90.00°, β = 90.00° and γ = 90.00°. The distinct sites, in fractional coordinates, are Mn at (0.000, 0.000, 0.000), In at (0.000, 0.000, 0.356), Cl at (0.000, 0.000, 0.159) and Cl at (0.000, 0.500, 0.000).

***

No. 6
## MnInCl6 (PBE-GGA)

Data for a geometry-optimized MnInCl6 structure.

The crystal system is trigonal. The uncorrected formation energy is -7.7 eV/f.u. Its energy above the most stable polymorph in this dataset is 0.00 eV per formula unit.

It has space group R-3m (No. 166, hexagonal axes), with a = 12.9582 Å, b = 12.9582 Å, c = 6.3292 Å, α = 90.00°, β = 90.00° and γ = 120.00°. The distinct sites, in fractional coordinates, are Mn at (0.0000, 0.0000, 0.0000), In at (0.0000, 0.0000, 0.5000) and Cl at (0.0852, 0.1704, 0.7675).

***

No. 7
## MnInCl2 (PBE-GGA)

Data for a geometry-optimized MnInCl2 structure.

The crystal system is orthorhombic. The uncorrected formation energy is -2.2 eV/f.u. Its energy above the most stable polymorph in this dataset is 0.38 eV per formula unit.

It has space group Cmmm (No. 65), with a = 3.475 Å, b = 6.447 Å, c = 9.504 Å, α = 90.00°, β = 90.00° and γ = 90.00°. The distinct sites, in fractional coordinates, are Mn at (0.000, 0.000, 0.000), In at (0.000, 0.000, 0.500) and Cl at (0.000, 0.500, 0.178).

***

No. 8
## Mn4InCl (PBE-GGA)

Data for a geometry-optimized Mn4InCl structure.

The crystal system is cubic. The uncorrected formation energy is 3.3 eV/f.u.

It has space group F-43m (No. 216), with a = 7.652 Å, b = 7.652 Å, c = 7.652 Å, α = 90.00°, β = 90.00° and γ = 90.00°. The distinct sites, in fractional coordinates, are Mn at (0.123, 0.123, 0.377), In at (0.250, 0.250, 0.750) and Cl at (0.000, 0.000, 0.000).

***

No. 9
## Mn2In3Cl8 (PBE-GGA)

Data for a geometry-optimized Mn2In3Cl8 structure.

The crystal system is trigonal. The uncorrected formation energy is -11.8 eV/f.u.

It has space group R-3m (No. 166, hexagonal axes), with a = 7.4338 Å, b = 7.4338 Å, c = 24.4867 Å, α = 90.00°, β = 90.00° and γ = 120.00°. The distinct sites, in fractional coordinates, are Mn at (0.0000, 0.0000, 0.0941), In at (0.0000, 0.0000, 0.3066), In at (0.0000, 0.0000, 0.5000), Cl at (0.0000, 0.0000, 0.1868) and Cl at (0.0073, 0.5037, 0.2690).

***

No. 10
## MnInCl6 (PBE-GGA)

Data for a geometry-optimized MnInCl6 structure.

The crystal system is triclinic. The uncorrected formation energy is -7.4 eV/f.u. Its energy above the most stable polymorph in this dataset is 0.26 eV per formula unit.

It has space group P-1 (No. 2), with a = 6.205 Å, b = 6.245 Å, c = 6.621 Å, α = 65.74°, β = 62.79° and γ = 63.44°. The distinct sites, in fractional coordinates, are Mn at (0.000, 0.000, 0.000), In at (0.500, 0.500, 0.500), Cl at (0.073, 0.769, 0.766), Cl at (0.258, 0.588, 0.258) and Cl at (0.377, 0.084, 0.766).

***

No. 11
## MnIn4Cl5 (PBE-GGA)

Data for a geometry-optimized MnIn4Cl5 structure.

The crystal system is tetragonal. The uncorrected formation energy is -7.2 eV/f.u.

It has space group I4 (No. 79), with a = 9.687 Å, b = 9.687 Å, c = 6.093 Å, α = 90.00°, β = 90.00° and γ = 90.00°. The distinct sites, in fractional coordinates, are Mn at (0.000, 0.000, 0.000), In at (0.073, 0.648, 0.435), Cl at (0.000, 0.000, 0.393) and Cl at (0.136, 0.789, 0.917).

***

No. 12
## MnIn3Cl4 (PBE-GGA)

Data for a geometry-optimized MnIn3Cl4 structure.

The crystal system is orthorhombic. The uncorrected formation energy is -5.7 eV/f.u. Its energy above the most stable polymorph in this dataset is 0.00 eV per formula unit.

It has space group Pmn2_1 (No. 31), with a = 9.130 Å, b = 8.641 Å, c = 5.982 Å, α = 90.00°, β = 90.00° and γ = 90.00°. The distinct sites, in fractional coordinates, are Mn at (0.000, 0.051, 0.000), In at (0.000, 0.434, 0.613), In at (0.170, 0.478, 0.111), Cl at (0.000, 0.135, 0.618), Cl at (0.000, 0.791, 0.093) and Cl at (0.219, 0.175, 0.120).

***

Q: Number 8 is which compound?
A: Mn4InCl